{"formula": "Y2TcW", "functional": "PBE", "state": "optimized geometry", "ef_mev_per_atom": 580, "e_above_lowest_polymorph_ev_per_atom": 0.504, "space_group": "P4/mmm (123)", "energy_ha_per_atom": -0.3117, "dos_at_fermi_per_ev_atom": 1.986, "cell": [[3.386, 0.000, 0.000], [0.000, 3.386, 0.000], [0.000, 0.000, 7.338]], "species": ["Y", "Y", "Tc", "W"], "fractional_positions": [[0.000, 0.000, 0.236], [0.000, 0.000, 0.764], [0.500, 0.500, 0.000], [0.500, 0.500, 0.500]]}